[1]
## SnPd2O6 (PBE-GGA)

Data for an optimized crystal structure of SnPd2O6.

symmetry	No. 12

abc: 6.788 6.788 6.147
angles: 100.21 100.21 26.88
Fractional coordinates of all 9 atoms:
Sn 0.000 0.000 0.000
Pd 0.332 0.332 0.662
Pd 0.668 0.668 0.338
O 0.162 0.162 0.124
O 0.177 0.177 0.555
O 0.489 0.489 0.769
O 0.511 0.511 0.231
O 0.823 0.823 0.445
O 0.838 0.838 0.876



[2]
## SnPdO2 (PBE-GGA)

Data for an optimized crystal structure of SnPdO2.

symmetry	No. 166

abc: 6.628 6.628 6.628
angles: 28.68 28.68 28.68
Fractional coordinates of all 4 atoms:
Sn 0.000 0.000 0.000
Pd 0.500 0.500 0.500
O 0.389 0.389 0.389
O 0.611 0.611 0.611



[3]
## SnPdO2 (PBE-GGA)

Data for an optimized crystal structure of SnPdO2.

symmetry	No. 122

abc: 5.938 5.938 5.938
angles: 126.34 126.34 79.34
Fractional coordinates of all 8 atoms:
Sn 0.000 0.000 0.000
Sn 0.750 0.250 0.500
Pd 0.250 0.750 0.500
Pd 0.500 0.500 0.000
O 0.071 0.625 0.946
O 0.375 0.321 0.446
O 0.679 0.125 0.054
O 0.875 0.929 0.554



[4]
## SnPdO4 (PBE-GGA)

Data for an optimized crystal structure of SnPdO4.

symmetry	No. 109

abc: 5.704 5.704 5.704
angles: 108.62 108.62 111.19
Fractional coordinates of all 12 atoms:
Sn 0.000 0.000 0.000
Sn 0.750 0.250 0.500
Pd 0.256 0.756 0.500
Pd 0.506 0.506 0.000
O 0.200 0.507 0.693
O 0.257 0.064 0.807
O 0.257 0.450 0.193
O 0.307 0.999 0.309
O 0.690 0.999 0.691
O 0.749 0.557 0.809
O 0.749 0.940 0.191
O 0.814 0.507 0.307



[5]
## Sr2SnPdO6 (PBE-GGA)

Data for an optimized crystal structure of Sr2SnPdO6.

symmetry	No. 14

abc: 5.739 5.746 9.896
angles: 90.00 125.19 90.00
Fractional coordinates of all 20 atoms:
Sr 0.241 0.038 0.249
Sr 0.241 0.462 0.749
Sr 0.759 0.538 0.251
Sr 0.759 0.962 0.751
Sn 0.500 0.000 0.000
Sn 0.500 0.500 0.500
Pd 0.000 0.000 0.500
Pd 0.000 0.500 0.000
O 0.169 0.214 0.959
O 0.169 0.286 0.459
O 0.244 0.711 0.958
O 0.244 0.789 0.458
O 0.326 0.017 0.748
O 0.326 0.483 0.248
O 0.674 0.517 0.752
O 0.674 0.983 0.252
O 0.756 0.211 0.542
O 0.756 0.289 0.042
O 0.831 0.714 0.541
O 0.831 0.786 0.041



[6]
## SrSnPdO2 (PBE-GGA)

Data for an optimized crystal structure of SrSnPdO2.

symmetry	No. 123

abc: 4.228 4.228 5.084
angles: 90.00 90.00 90.00
Fractional coordinates of all 5 atoms:
Sr 0.000 0.000 0.000
Sn 0.500 0.500 0.500
Pd 0.500 0.500 0.000
O 0.000 0.500 0.500
O 0.500 0.000 0.500



[7]
## SnTePdO6 (PBE-GGA)

Data for an optimized crystal structure of SnTePdO6.

symmetry	No. 163

abc: 5.349 5.349 9.333
angles: 90.00 90.00 120.00
Fractional coordinates of all 18 atoms:
Sn 0.333 0.667 0.250
Sn 0.667 0.333 0.750
Te 0.333 0.667 0.750
Te 0.667 0.333 0.250
Pd 0.000 0.000 0.000
Pd 0.000 0.000 0.500
O 0.018 0.369 0.633
O 0.018 0.648 0.867
O 0.352 0.369 0.867
O 0.352 0.982 0.633
O 0.369 0.018 0.133
O 0.369 0.352 0.367
O 0.631 0.648 0.633
O 0.631 0.982 0.867
O 0.648 0.018 0.367
O 0.648 0.631 0.133
O 0.982 0.352 0.133
O 0.982 0.631 0.367



[8]
## TiSnPdO2 (PBE-GGA)

Data for an optimized crystal structure of TiSnPdO2.

symmetry	No. 123

abc: 3.816 3.816 5.538
angles: 90.00 90.00 90.00
Fractional coordinates of all 5 atoms:
Ti 0.000 0.000 0.000
Sn 0.500 0.500 0.500
Pd 0.000 0.000 0.500
O 0.000 0.500 0.000
O 0.500 0.000 0.000



[9]
## Tl2SnPdO (PBE-GGA)

Data for an optimized crystal structure of Tl2SnPdO.

symmetry	No. 123

abc: 5.769 5.769 3.785
angles: 90.00 90.00 90.00
Fractional coordinates of all 5 atoms:
Tl 0.000 0.500 0.000
Tl 0.500 0.000 0.000
Sn 0.000 0.000 0.500
Pd 0.500 0.500 0.000
O 0.500 0.500 0.500



Number 1: calculated total energy -5.61 eV/atom, spin magnetization 0.00 μB/cell, formation energy without anion corrections -16.3 kcal/mol of atoms. Number 2: calculated total energy -5.58 eV/atom, spin magnetization 0.47 μB/cell, formation energy without anion corrections -18.4 kcal/mol of atoms. Number 3: calculated total energy -5.33 eV/atom, spin magnetization 0.47 μB/cell, formation energy without anion corrections -12.8 kcal/mol of atoms. Number 4: calculated total energy -5.76 eV/atom, spin magnetization 0.00 μB/cell, formation energy without anion corrections -21.3 kcal/mol of atoms. Number 5: calculated total energy -6.01 eV/atom, spin magnetization 0.00 μB/cell, formation energy without anion corrections -41.1 kcal/mol of atoms. Number 6: calculated total energy -5.18 eV/atom, spin magnetization 0.00 μB/cell, formation energy without anion corrections -23.5 kcal/mol of atoms. Number 7: calculated total energy -5.59 eV/atom, spin magnetization 4.04 μB/cell, formation energy without anion corrections -21.0 kcal/mol of atoms. Number 8: calculated total energy -6.82 eV/atom, spin magnetization 0.00 μB/cell, formation energy without anion corrections -32.8 kcal/mol of atoms. Number 9: calculated total energy -3.81 eV/atom, spin magnetization 0.00 μB/cell, formation energy without anion corrections -0.7 kcal/mol of atoms.